Here is KNa3As2Au2 after structural relaxation from the Open Quantum Materials Database. Energies are from GGA-PBE.

The structure in POSCAR format:
```
KNa3As2Au2
1.0
5.754 0.000 0.000
0.000 5.948 0.000
-1.382 0.000 5.799
As Au K Na
2 2 1 3
Cartesian
1.040 0.000 1.205
3.384 2.974 4.572
2.152 1.507 2.898
2.152 4.441 2.898
-0.771 0.000 3.884
3.821 0.000 0.147
5.127 2.974 1.904
0.582 2.974 5.689
```

Results
Space group = No. 6
Uncorrected energy = -24.7 eV for the cell shown

=====

Here is PaBiMo after structural relaxation from the Open Quantum Materials Database. Energies are from GGA-PBE.

The structure in POSCAR format:
```
PaBiMo
1.0
3.614 -2.910 -1.650
3.046 -2.192 3.189
-0.249 -4.869 0.693
Bi Mo Pa
1 1 1
Cartesian
1.602 -2.493 0.558
4.807 -7.479 1.673
0.000 0.000 0.000
```

Results
Space group = No. 216
Energy above the most stable polymorph in this dataset = 139 meV per atom

=====

Here is HfZn3 after structural relaxation from the Open Quantum Materials Database. Energies are from GGA-PBE.

The structure in POSCAR format:
```
HfZn3
1.0
1.274 4.256 3.715
-4.508 0.546 -3.596
-2.607 -1.830 2.990
Hf Zn
2 6
Cartesian
0.000 0.000 0.000
-3.884 0.869 0.336
0.585 2.164 1.834
-1.578 2.426 0.109
-0.967 4.468 1.891
-1.643 0.656 2.160
-1.032 2.698 3.942
-3.195 2.960 2.217
```

Results
Space group = No. 194
Uncorrected energy = -29.1 eV for the cell shown

=====

Here is LiNd6B3O13F2 after structural relaxation from the Open Quantum Materials Database. Energies are from GGA-PBE.

The structure in POSCAR format:
```
LiNd6B3O13F2
1.0
6.904 0.000 0.000
3.452 6.021 0.000
3.452 -1.946 15.532
B F Li Nd O
6 4 2 12 26
Cartesian
8.716 4.881 3.864
8.373 1.019 3.883
5.264 3.179 3.901
8.544 0.897 11.630
5.434 3.056 11.649
5.092 -0.806 11.667
4.041 0.993 0.675
4.041 1.045 7.092
9.767 3.031 8.440
9.767 3.082 14.857
3.958 1.020 3.883
9.850 3.056 11.649
2.864 3.005 1.461
6.403 0.989 1.536
6.210 4.841 1.746
9.661 3.218 6.020
6.402 1.050 6.230
6.315 5.054 6.304
7.492 -0.979 9.227
7.406 3.026 9.301
4.146 0.857 9.512
7.598 -0.766 13.786
7.405 3.087 13.996
10.944 1.071 14.070
3.991 5.002 0.917
7.481 3.025 0.947
5.013 2.730 2.600
2.163 0.988 2.676
8.276 5.593 2.770
9.389 3.702 3.719
7.016 1.020 3.883
5.936 4.358 4.046
4.824 2.467 4.996
2.164 1.050 5.089
8.465 5.329 5.166
10.933 5.034 6.819
7.443 3.056 6.848
6.365 1.019 8.683
2.874 -0.959 8.712
5.343 -1.253 10.366
11.644 3.025 10.442
8.984 1.608 10.535
7.871 -0.283 11.486
6.791 3.055 11.648
4.419 0.373 11.813
5.532 -1.518 12.762
11.645 3.087 12.856
8.795 1.345 12.931
6.326 1.050 14.585
9.817 -0.927 14.615
```

Results
Space group = No. 15
Uncorrected energy = -397.1 eV for the cell shown

=====

Here is Na4CuGe2Pd after structural relaxation from the Open Quantum Materials Database. Energies are from GGA-PBE.

The structure in POSCAR format:
```
Na4CuGe2Pd
1.0
-1.372 -4.502 0.312
4.264 -1.187 1.630
-2.086 1.068 6.234
Cu Ge Na Pd
1 2 4 1
Cartesian
0.000 0.000 0.000
-1.217 -1.979 1.744
0.578 0.202 5.461
1.446 -2.844 0.971
1.618 -0.330 2.352
-1.043 0.534 3.117
-2.257 -1.447 4.853
0.403 -2.310 4.088
```

Results
Space group = No. 115
Uncorrected energy = -23.5 eV for the cell shown

=====

Here is ScAlZn2 after structural relaxation from the Open Quantum Materials Database. Energies are from GGA-PBE.

The structure in POSCAR format:
```
ScAlZn2
1.0
0.000 3.216 3.216
3.216 0.000 3.216
3.216 3.216 0.000
Al Sc Zn
1 1 2
Cartesian
1.608 1.608 1.608
0.000 0.000 0.000
3.216 3.216 3.216
4.824 4.824 4.824
```

Results
Space group = No. 216
Uncorrected energy = -13.4 eV for the cell shown